Entry 1:
# YFeHg2, relaxed, DFT PBE
# calculated density	10.73	g cm⁻³
# uncorrected energy	-3.7393	eV/atom
data_YFeHg2
_chemical_formula_sum 'Y1 Fe1 Hg2'
_space_group_name_H-M_alt 'P 1'
_space_group_IT_number 1
_space_group_name_Hall 'P 1'
_cell_length_a 4.9258
_cell_length_b 4.9258
_cell_length_c 4.9258
_cell_angle_alpha 60.00
_cell_angle_beta 60.00
_cell_angle_gamma 60.00
loop_
_atom_site_label
_atom_site_fract_x
_atom_site_fract_y
_atom_site_fract_z
Y1 0.0000 0.0000 0.0000
Fe1 0.2500 0.2500 0.2500
Hg1 0.5000 0.5000 0.5000
Hg2 0.7500 0.7500 0.7500

---

Entry 2:
# GeAu2S3, relaxed, DFT PBE
# calculated density	6.03	g cm⁻³
# uncorrected energy	-3.9526	eV/atom
data_GeAu2S3
_chemical_formula_sum 'Ge2 Au4 S6'
_space_group_name_H-M_alt 'P 1'
_space_group_IT_number 1
_space_group_name_Hall 'P 1'
_cell_length_a 7.7796
_cell_length_b 7.7796
_cell_length_c 11.6866
_cell_angle_alpha 90.00
_cell_angle_beta 90.00
_cell_angle_gamma 154.03
loop_
_atom_site_label
_atom_site_fract_x
_atom_site_fract_y
_atom_site_fract_z
Ge1 0.2198 0.7802 0.7500
Ge2 0.7802 0.2198 0.2500
Au1 0.0985 0.9015 0.2500
Au2 0.5000 0.5000 0.0000
Au3 0.5000 0.5000 0.5000
Au4 0.9015 0.0985 0.7500
S1 0.1005 0.8995 0.0501
S2 0.1005 0.8995 0.4499
S3 0.3805 0.6195 0.2500
S4 0.6195 0.3805 0.7500
S5 0.8995 0.1005 0.5501
S6 0.8995 0.1005 0.9499

---

Entry 3:
# RbTbNO, relaxed, DFT PBE
# calculated density	4.79	g cm⁻³
# uncorrected energy	-5.9462	eV/atom
# E above lowest polymorph	0.000	eV/atom
data_RbTbNO
_chemical_formula_sum 'Rb2 Tb2 N2 O2'
_space_group_name_H-M_alt 'P 1'
_space_group_IT_number 1
_space_group_name_Hall 'P 1'
_cell_length_a 3.9770
_cell_length_b 7.5498
_cell_length_c 6.3428
_cell_angle_alpha 90.00
_cell_angle_beta 90.00
_cell_angle_gamma 90.00
loop_
_atom_site_label
_atom_site_fract_x
_atom_site_fract_y
_atom_site_fract_z
Rb1 0.0000 0.1693 0.0000
Rb2 0.0000 0.8307 0.5000
Tb1 0.5000 0.3525 0.5285
Tb2 0.5000 0.6475 0.0285
N1 0.0000 0.2124 0.4646
N2 0.0000 0.7876 0.9646
O1 0.5000 0.4015 0.8611
O2 0.5000 0.5985 0.3611

---

Entry 4:
# KHfTePdSeS, relaxed, DFT PBE
# calculated density	6.08	g cm⁻³
# uncorrected energy	-5.5412	eV/atom
# E above lowest polymorph	0.079	eV/atom
data_KHfTePdSeS
_chemical_formula_sum 'K2 Hf2 Te2 Pd2 Se2 S2'
_space_group_name_H-M_alt 'P 1'
_space_group_IT_number 1
_space_group_name_Hall 'P 1'
_cell_length_a 8.6744
_cell_length_b 3.8811
_cell_length_c 9.8572
_cell_angle_alpha 90.00
_cell_angle_beta 112.23
_cell_angle_gamma 90.00
loop_
_atom_site_label
_atom_site_fract_x
_atom_site_fract_y
_atom_site_fract_z
K1 0.2236 0.2500 0.2220
K2 0.7764 0.7500 0.7780
Hf1 0.1760 0.7500 0.6601
Hf2 0.8240 0.2500 0.3399
Te1 0.4136 0.2500 0.6356
Te2 0.5864 0.7500 0.3644
Pd1 0.3951 0.2500 0.9070
Pd2 0.6049 0.7500 0.0930
Se1 0.2320 0.7500 0.9433
Se2 0.7680 0.2500 0.0567
S1 0.0327 0.7500 0.3727
S2 0.9673 0.2500 0.6273

---

Entry 5:
# LaPmCo, relaxed, DFT PBE
# calculated density	7.60	g cm⁻³
# uncorrected energy	-4.9730	eV/atom
# E above lowest polymorph	0.000	eV/atom
data_LaPmCo
_chemical_formula_sum 'La1 Pm1 Co1'
_space_group_name_H-M_alt 'P 1'
_space_group_IT_number 1
_space_group_name_Hall 'P 1'
_cell_length_a 4.7327
_cell_length_b 4.7327
_cell_length_c 4.7327
_cell_angle_alpha 60.00
_cell_angle_beta 60.00
_cell_angle_gamma 60.00
loop_
_atom_site_label
_atom_site_fract_x
_atom_site_fract_y
_atom_site_fract_z
La1 0.0000 0.0000 0.0000
Pm1 0.7500 0.7500 0.7500
Co1 0.5000 0.5000 0.5000

---

Entry 6:
# RbZr3As5, relaxed, DFT PBE
# calculated density	5.57	g cm⁻³
# uncorrected energy	-6.1192	eV/atom
data_RbZr3As5
_chemical_formula_sum 'Rb1 Zr3 As5'
_space_group_name_H-M_alt 'P 1'
_space_group_IT_number 1
_space_group_name_Hall 'P 1'
_cell_length_a 6.2182
_cell_length_b 6.2182
_cell_length_c 6.5290
_cell_angle_alpha 90.00
_cell_angle_beta 90.00
_cell_angle_gamma 120.00
loop_
_atom_site_label
_atom_site_fract_x
_atom_site_fract_y
_atom_site_fract_z
Rb1 0.0000 0.0000 0.0000
Zr1 0.0000 0.5000 0.5000
Zr2 0.5000 0.0000 0.5000
Zr3 0.5000 0.5000 0.5000
As1 0.0000 0.0000 0.5000
As2 0.3333 0.6667 0.1895
As3 0.3333 0.6667 0.8105
As4 0.6667 0.3333 0.1895
As5 0.6667 0.3333 0.8105

---

Entry 7:
# SiMo4PC2, relaxed, DFT PBE
# calculated density	7.53	g cm⁻³
# uncorrected energy	-9.2107	eV/atom
data_SiMo4PC2
_chemical_formula_sum 'Si1 Mo4 P1 C2'
_space_group_name_H-M_alt 'P 1'
_space_group_IT_number 1
_space_group_name_Hall 'P 1'
_cell_length_a 3.1311
_cell_length_b 3.1311
_cell_length_c 12.1181
_cell_angle_alpha 90.00
_cell_angle_beta 90.00
_cell_angle_gamma 120.00
loop_
_atom_site_label
_atom_site_fract_x
_atom_site_fract_y
_atom_site_fract_z
Si1 0.0000 0.0000 0.0000
Mo1 0.0000 0.0000 0.3505
Mo2 0.0000 0.0000 0.6495
Mo3 0.3333 0.6667 0.1603
Mo4 0.3333 0.6667 0.8397
P1 0.3333 0.6667 0.5000
C1 0.6667 0.3333 0.2537
C2 0.6667 0.3333 0.7463

---

Entry 8:
# OsC4Cl2O4, relaxed, DFT PBE
# calculated density	3.23	g cm⁻³
# uncorrected energy	-7.2235	eV/atom
# E above lowest polymorph	0.000	eV/atom
data_OsC4Cl2O4
_chemical_formula_sum 'Os2 C8 Cl4 O8'
_space_group_name_H-M_alt 'P 1'
_space_group_IT_number 1
_space_group_name_Hall 'P 1'
_cell_length_a 6.0404
_cell_length_b 6.0404
_cell_length_c 11.5629
_cell_angle_alpha 93.47
_cell_angle_beta 93.47
_cell_angle_gamma 113.95
loop_
_atom_site_label
_atom_site_fract_x
_atom_site_fract_y
_atom_site_fract_z
Os1 0.0675 0.9325 0.7500
Os2 0.9325 0.0675 0.2500
C1 0.1056 0.7068 0.8492
C2 0.2068 0.3338 0.3435
C3 0.2932 0.8944 0.6508
C4 0.3338 0.2068 0.8435
C5 0.6662 0.7932 0.1565
C6 0.7068 0.1056 0.3492
C7 0.7932 0.6662 0.6565
C8 0.8944 0.2932 0.1508
Cl1 0.0282 0.2359 0.6312
Cl2 0.2359 0.0282 0.1312
Cl3 0.7641 0.9718 0.8688
Cl4 0.9718 0.7641 0.3688
O1 0.1355 0.5732 0.9086
O2 0.3654 0.4961 0.3930
O3 0.4268 0.8645 0.5914
O4 0.4961 0.3654 0.8930
O5 0.5039 0.6346 0.1070
O6 0.5732 0.1355 0.4086
O7 0.6346 0.5039 0.6070
O8 0.8645 0.4268 0.0914

---

Entry 9:
# KCuPbSe3, relaxed, DFT PBE
# calculated density	5.71	g cm⁻³
# uncorrected energy	-3.6307	eV/atom
data_KCuPbSe3
_chemical_formula_sum 'K2 Cu2 Pb2 Se6'
_space_group_name_H-M_alt 'P 1'
_space_group_IT_number 1
_space_group_name_Hall 'P 1'
_cell_length_a 6.8106
_cell_length_b 6.8106
_cell_length_c 11.5663
_cell_angle_alpha 90.00
_cell_angle_beta 90.00
_cell_angle_gamma 143.65
loop_
_atom_site_label
_atom_site_fract_x
_atom_site_fract_y
_atom_site_fract_z
K1 0.2219 0.7781 0.7500
K2 0.7781 0.2219 0.2500
Cu1 0.0775 0.9225 0.2500
Cu2 0.9225 0.0775 0.7500
Pb1 0.5000 0.5000 0.0000
Pb2 0.5000 0.5000 0.5000
Se1 0.1533 0.8467 0.0545
Se2 0.1533 0.8467 0.4455
Se3 0.4796 0.5204 0.2500
Se4 0.5204 0.4796 0.7500
Se5 0.8467 0.1533 0.5545
Se6 0.8467 0.1533 0.9455

---

Entry 10:
# NaHoNb, relaxed, DFT PBE
# calculated density	4.94	g cm⁻³
# uncorrected energy	-3.8109	eV/atom
# E above lowest polymorph	0.127	eV/atom
data_NaHoNb
_chemical_formula_sum 'Na1 Ho1 Nb1'
_space_group_name_H-M_alt 'P 1'
_space_group_IT_number 1
_space_group_name_Hall 'P 1'
_cell_length_a 5.1108
_cell_length_b 5.1108
_cell_length_c 5.1108
_cell_angle_alpha 60.00
_cell_angle_beta 60.00
_cell_angle_gamma 60.00
loop_
_atom_site_label
_atom_site_fract_x
_atom_site_fract_y
_atom_site_fract_z
Na1 0.0000 0.0000 0.0000
Ho1 0.2500 0.2500 0.2500
Nb1 0.5000 0.5000 0.5000

---

Entry 11:
# BaZnCo2, relaxed, DFT PBE
# calculated density	6.51	g cm⁻³
# uncorrected energy	-3.5457	eV/atom
data_BaZnCo2
_chemical_formula_sum 'Ba1 Zn1 Co2'
_space_group_name_H-M_alt 'P 1'
_space_group_IT_number 1
_space_group_name_Hall 'P 1'
_cell_length_a 4.8716
_cell_length_b 4.8716
_cell_length_c 4.8716
_cell_angle_alpha 60.00
_cell_angle_beta 60.00
_cell_angle_gamma 60.00
loop_
_atom_site_label
_atom_site_fract_x
_atom_site_fract_y
_atom_site_fract_z
Ba1 0.0000 0.0000 0.0000
Zn1 0.2500 0.2500 0.2500
Co1 0.5000 0.5000 0.5000
Co2 0.7500 0.7500 0.7500

---

Entry 12:
# GaAu, relaxed, DFT PBE
# calculated density	8.73	g cm⁻³
# uncorrected energy	-3.1526	eV/atom
data_GaAu
_chemical_formula_sum 'Ga1 Au1'
_space_group_name_H-M_alt 'P 1'
_space_group_IT_number 1
_space_group_name_Hall 'P 1'
_cell_length_a 4.1553
_cell_length_b 4.1553
_cell_length_c 4.1553
_cell_angle_alpha 60.00
_cell_angle_beta 60.00
_cell_angle_gamma 60.00
loop_
_atom_site_label
_atom_site_fract_x
_atom_site_fract_y
_atom_site_fract_z
Ga1 0.0000 0.0000 0.0000
Au1 0.2500 0.2500 0.2500

---

Entry 13:
# ScBeCdAu, relaxed, DFT PBE
# calculated density	8.78	g cm⁻³
# uncorrected energy	-3.7723	eV/atom
# E above lowest polymorph	0.007	eV/atom
data_ScBeCdAu
_chemical_formula_sum 'Sc1 Be1 Cd1 Au1'
_space_group_name_H-M_alt 'P 1'
_space_group_IT_number 1
_space_group_name_Hall 'P 1'
_cell_length_a 4.5969
_cell_length_b 4.5969
_cell_length_c 4.5969
_cell_angle_alpha 60.00
_cell_angle_beta 60.00
_cell_angle_gamma 60.00
loop_
_atom_site_label
_atom_site_fract_x
_atom_site_fract_y
_atom_site_fract_z
Sc1 0.0000 0.0000 0.0000
Be1 0.5000 0.5000 0.5000
Cd1 0.2500 0.2500 0.2500
Au1 0.7500 0.7500 0.7500

---

Entry 14:
# Ba2Cd2As2O, relaxed, DFT PBE
# calculated density	6.10	g cm⁻³
# uncorrected energy	-3.9367	eV/atom
# E above lowest polymorph	0.064	eV/atom
data_Ba2Cd2As2O
_chemical_formula_sum 'Ba2 Cd2 As2 O1'
_space_group_name_H-M_alt 'P 1'
_space_group_IT_number 1
_space_group_name_Hall 'P 1'
_cell_length_a 6.8308
_cell_length_b 6.8308
_cell_length_c 7.6506
_cell_angle_alpha 120.10
_cell_angle_beta 120.10
_cell_angle_gamma 36.67
loop_
_atom_site_label
_atom_site_fract_x
_atom_site_fract_y
_atom_site_fract_z
Ba1 0.0496 0.0496 0.2848
Ba2 0.9504 0.9504 0.7152
Cd1 0.2996 0.2996 0.9126
Cd2 0.7004 0.7004 0.0874
As1 0.3242 0.3242 0.3063
As2 0.6758 0.6758 0.6937
O1 0.5000 0.5000 0.0000

---

Entry 15:
# NdGdP2Ir2O2, relaxed, DFT PBE
# calculated density	9.96	g cm⁻³
# uncorrected energy	-7.9263	eV/atom
data_NdGdP2Ir2O2
_chemical_formula_sum 'Nd1 Gd1 P2 Ir2 O2'
_space_group_name_H-M_alt 'P 1'
_space_group_IT_number 1
_space_group_name_Hall 'P 1'
_cell_length_a 3.9798
_cell_length_b 3.9798
_cell_length_c 8.2117
_cell_angle_alpha 90.00
_cell_angle_beta 90.00
_cell_angle_gamma 90.00
loop_
_atom_site_label
_atom_site_fract_x
_atom_site_fract_y
_atom_site_fract_z
Nd1 0.0000 0.0000 0.0000
Gd1 0.5000 0.5000 0.7181
P1 0.0000 0.0000 0.5171
P2 0.5000 0.5000 0.1988
Ir1 0.0000 0.5000 0.3586
Ir2 0.5000 0.0000 0.3586
O1 0.0000 0.5000 0.8511
O2 0.5000 0.0000 0.8511

---

Entry 16:
# PmNbO, relaxed, DFT PBE
# calculated density	8.11	g cm⁻³
# uncorrected energy	-6.9928	eV/atom
# E above lowest polymorph	0.776	eV/atom
data_PmNbO
_chemical_formula_sum 'Pm1 Nb1 O1'
_space_group_name_H-M_alt 'P 1'
_space_group_IT_number 1
_space_group_name_Hall 'P 1'
_cell_length_a 4.1896
_cell_length_b 4.1896
_cell_length_c 4.1896
_cell_angle_alpha 60.00
_cell_angle_beta 60.00
_cell_angle_gamma 60.00
loop_
_atom_site_label
_atom_site_fract_x
_atom_site_fract_y
_atom_site_fract_z
Pm1 0.0000 0.0000 0.0000
Nb1 0.5000 0.5000 0.5000
O1 0.2500 0.2500 0.2500

---

Entry 17:
# BaLiSbPt, relaxed, DFT PBE
# calculated density	7.20	g cm⁻³
# uncorrected energy	-3.7674	eV/atom
# E above lowest polymorph	0.270	eV/atom
data_BaLiSbPt
_chemical_formula_sum 'Ba1 Li1 Sb1 Pt1'
_space_group_name_H-M_alt 'P 1'
_space_group_IT_number 1
_space_group_name_Hall 'P 1'
_cell_length_a 5.3182
_cell_length_b 5.3182
_cell_length_c 5.3182
_cell_angle_alpha 60.00
_cell_angle_beta 60.00
_cell_angle_gamma 60.00
loop_
_atom_site_label
_atom_site_fract_x
_atom_site_fract_y
_atom_site_fract_z
Ba1 0.0000 0.0000 0.0000
Li1 0.5000 0.5000 0.5000
Sb1 0.2500 0.2500 0.2500
Pt1 0.7500 0.7500 0.7500

---

Entry 18:
# Tc2GeAu, relaxed, DFT PBE
# calculated density	12.27	g cm⁻³
# uncorrected energy	-6.7115	eV/atom
data_Tc2GeAu
_chemical_formula_sum 'Tc2 Ge1 Au1'
_space_group_name_H-M_alt 'P 1'
_space_group_IT_number 1
_space_group_name_Hall 'P 1'
_cell_length_a 4.4661
_cell_length_b 4.4661
_cell_length_c 4.4661
_cell_angle_alpha 60.00
_cell_angle_beta 60.00
_cell_angle_gamma 60.00
loop_
_atom_site_label
_atom_site_fract_x
_atom_site_fract_y
_atom_site_fract_z
Tc1 0.0000 0.0000 0.0000
Tc2 0.2500 0.2500 0.2500
Ge1 0.5000 0.5000 0.5000
Au1 0.7500 0.7500 0.7500

---

Entry 19:
# Y3Ho3CuTe2, relaxed, DFT PBE
# calculated density	7.44	g cm⁻³
# uncorrected energy	-5.4265	eV/atom
# E above lowest polymorph	0.023	eV/atom
data_Y3Ho3CuTe2
_chemical_formula_sum 'Y3 Ho3 Cu1 Te2'
_space_group_name_H-M_alt 'P 1'
_space_group_IT_number 1
_space_group_name_Hall 'P 1'
_cell_length_a 8.4190
_cell_length_b 8.4190
_cell_length_c 3.9294
_cell_angle_alpha 90.00
_cell_angle_beta 90.00
_cell_angle_gamma 120.00
loop_
_atom_site_label
_atom_site_fract_x
_atom_site_fract_y
_atom_site_fract_z
Y1 0.0000 0.2456 0.0000
Y2 0.2456 0.0000 0.0000
Y3 0.7544 0.7544 0.0000
Ho1 0.0000 0.5964 0.5000
Ho2 0.4036 0.4036 0.5000
Ho3 0.5964 0.0000 0.5000
Cu1 0.0000 0.0000 0.5000
Te1 0.3333 0.6667 0.0000
Te2 0.6667 0.3333 0.0000

---

Entry 20:
# Dy2Ga4CuPd, relaxed, DFT PBE
# calculated density	8.83	g cm⁻³
# uncorrected energy	-4.4394	eV/atom
data_Dy2Ga4CuPd
_chemical_formula_sum 'Dy2 Ga4 Cu1 Pd1'
_space_group_name_H-M_alt 'P 1'
_space_group_IT_number 1
_space_group_name_Hall 'P 1'
_cell_length_a 6.6000
_cell_length_b 5.5056
_cell_length_c 5.5056
_cell_angle_alpha 46.69
_cell_angle_beta 90.00
_cell_angle_gamma 90.00
loop_
_atom_site_label
_atom_site_fract_x
_atom_site_fract_y
_atom_site_fract_z
Dy1 0.0000 0.0000 0.0000
Dy2 0.5000 0.1696 0.1696
Ga1 0.1942 0.7129 0.7129
Ga2 0.2992 0.4559 0.4559
Ga3 0.7008 0.4559 0.4559
Ga4 0.8058 0.7129 0.7129
Cu1 0.0000 0.2896 0.2896
Pd1 0.5000 0.8813 0.8813